Tb6Mg2In after structural relaxation. Source: the Alexandria database, functional PBE-GGA.

Cell: 8.879 8.879 8.879 Å, 111.61 110.12 106.72°
Sites, in units of the cell vectors:
Tb  0.559  0.740  0.820
Tb  0.441  0.260  0.180
Tb  0.080  0.260  0.820
Tb  0.920  0.740  0.180
Tb  0.802  0.743  0.545
Tb  0.198  0.257  0.455
Tb  0.198  0.743  0.940
Tb  0.802  0.257  0.060
Tb  0.739  0.416  0.676
Tb  0.261  0.584  0.324
Tb  0.261  0.937  0.676
Tb  0.739  0.063  0.324
Mg  0.500  0.361  0.861
Mg  0.500  0.639  0.139
Mg  0.635  0.000  0.635
Mg  0.365  0.000  0.365
In  0.000  0.500  0.500
In  0.000  0.000  0.000

As for the spin magnetization: 0.00 μB/f.u. As for the space group: Immm. The density of states at the Fermi level is 21.77 states/eV per cell. The value obtained for the electronic total energy is -68.36 eV per cell. The calculation puts the formation enthalpy at 0 K at -0.052 eV/atom.